The following is a PBE-GGA calculation of crystalline Be2ReRuF at its relaxed geometry, from the Alexandria database.

Cell and atoms, written as POSCAR:
```
Be2ReRuF
1.0
4.340 0.000 0.000
0.000 4.340 0.000
0.000 0.000 4.650
Be Re Ru F
2 1 1 1
Direct
0.000 0.500 0.000
0.500 0.000 0.000
0.000 0.000 0.000
0.000 0.000 0.500
0.500 0.500 0.500
```

Properties
- ΔE_f (raw): 1.167 eV/atom
- Density of states at the Fermi level: 2.64 states/eV/f.u.


The following is a PBE-GGA calculation of crystalline BeReSb2F at its relaxed geometry, from the Alexandria database.

Cell and atoms, written as POSCAR:
```
BeReSb2F
1.0
4.931 0.000 0.000
0.000 4.931 0.000
0.000 0.000 3.985
Be Re Sb F
1 1 2 1
Direct
0.000 0.000 0.000
0.500 0.500 0.000
0.000 0.500 0.500
0.500 0.000 0.500
0.500 0.500 0.500
```

Properties
- ΔE_f (raw): 0.930 eV/atom
- Density of states at the Fermi level: 4.99 states/eV/f.u.